Entry 1:
## MgZnNi2 (meta-GGA SCAN)

Data for a crystal of MgZnNi2 relaxed with PBEsol.

The structure belongs to space group Cm (No. 8); the cell edges are 9.092, 2.729 and 4.272 Å and the angles 90.00°, 109.58° and 90.00°. The asymmetric unit holds Mg at (0.000, 0.000, 0.000), Zn at (0.224, 0.000, 0.646), Ni at (0.255, 0.500, 0.171) and Ni at (0.481, 0.000, 0.493).

The energy relative to the elements is -124 meV per atom.

***

Entry 2:
## ReRu2Pt (meta-GGA SCAN)

Data for a crystal of ReRu2Pt relaxed with PBEsol.

The structure belongs to space group Pmmm (No. 47); the cell edges are 2.690, 3.830 and 5.439 Å and the angles 90.00°, 90.00° and 90.00°. The asymmetric unit holds Re at (0.000, 0.000, 0.000), Ru at (0.500, 0.500, 0.240) and Pt at (0.000, 0.000, 0.500).

The energy relative to the elements is -31 meV per atom.

***

Entry 3:
## Cd5Au (meta-GGA SCAN)

Data for a crystal of Cd5Au relaxed with PBEsol.

The structure belongs to space group Cm (No. 8); the cell edges are 10.854, 3.113 and 7.102 Å and the angles 90.00°, 102.96° and 90.00°. The asymmetric unit holds Cd at (0.000, 0.000, 0.000), Cd at (0.049, 0.000, 0.616), Cd at (0.171, 0.500, 0.348), Cd at (0.225, 0.500, 0.939), Cd at (0.389, 0.000, 0.281) and Au at (0.330, 0.000, 0.666).

The energy relative to the elements is -80 meV per atom.

***

Entry 4:
## Co2RhI (meta-GGA SCAN)

Data for a crystal of Co2RhI relaxed with PBEsol.

The structure belongs to space group Fm-3m (No. 225); the cell edges are 6.053, 6.053 and 6.053 Å and the angles 90.00°, 90.00° and 90.00°. The asymmetric unit holds Co at (0.250, 0.250, 0.250), Rh at (0.000, 0.000, 0.000) and I at (0.000, 0.000, 0.500).

For the uncorrected formation energy, the calculation gives 800 meV per atom.